Record 1
# TbNd5Er2, optimized geometry, DFT PBE
# density of states at the Fermi level = 21.0 states/eV per cell
# formation energy = 116 meV/atom
# space group = I4/mcm, No. 140
# spin magnetization = 0.74 μB/cell
# energy relative to the lowest polymorph listed for this composition = 0 meV/atom
# ρ = 7.4 Mg/m³
# E = -4.584 eV per atom
data_TbNd5Er2
_space_group_name_H-M_alt 'P 1'
_space_group_IT_number 1
_cell_length_a 9.256
_cell_length_b 9.256
_cell_length_c 9.111
_cell_angle_alpha 120.53
_cell_angle_beta 120.53
_cell_angle_gamma 90.00
loop_
_space_group_symop_operation_xyz
'x,y,z'
loop_
_atom_site_label
_atom_site_type_symbol
_atom_site_fract_x
_atom_site_fract_y
_atom_site_fract_z
_atom_site_occupancy
Tb1 Tb 0.250 0.250 0.500 1
Nd1 Nd 0.000 0.000 0.000 1
Nd2 Nd 0.687 0.187 0.673 1
Er1 Er 0.354 0.854 0.000 1
Tb2 Tb 0.750 0.750 0.500 1
Nd3 Nd 0.187 0.986 0.673 1
Er2 Er 0.854 0.646 0.000 1
Nd4 Nd 0.313 0.813 0.327 1
Nd5 Nd 0.986 0.486 0.673 1
Er3 Er 0.646 0.146 0.000 1
Nd6 Nd 0.514 0.313 0.327 1
Nd7 Nd 0.813 0.014 0.327 1
Nd8 Nd 0.500 0.500 0.000 1
Nd9 Nd 0.014 0.514 0.327 1
Nd10 Nd 0.486 0.687 0.673 1
Er4 Er 0.146 0.354 0.000 1

Record 2
# RuPb4Br, optimized geometry, DFT PBE
# density of states at the Fermi level = 4.0 states/eV per cell
# space group = F-43m, No. 216
# ΔE_f (raw) = 0.706 eV per atom
# spin magnetization = 2.51 μB/cell
# ρ = 9.2 Mg/m³
# E = -3.591 eV per atom
data_RuPb4Br
_space_group_name_H-M_alt 'P 1'
_space_group_IT_number 1
_cell_length_a 6.366
_cell_length_b 6.366
_cell_length_c 6.366
_cell_angle_alpha 60.00
_cell_angle_beta 60.00
_cell_angle_gamma 60.00
loop_
_space_group_symop_operation_xyz
'x,y,z'
loop_
_atom_site_label
_atom_site_type_symbol
_atom_site_fract_x
_atom_site_fract_y
_atom_site_fract_z
_atom_site_occupancy
Pb1 Pb 0.376 0.872 0.376 1
Ru1 Ru 0.750 0.750 0.750 1
Pb2 Pb 0.376 0.376 0.872 1
Pb3 Pb 0.872 0.376 0.376 1
Pb4 Pb 0.376 0.376 0.376 1
Br1 Br 0.000 0.000 0.000 1

Record 3
# Dy6HgRu, optimized geometry, DFT PBE
# density of states at the Fermi level = 10.7 states/eV per cell
# formation energy = -59 meV/atom
# space group = P-1, No. 2
# spin magnetization = 0.00 μB/cell
# energy relative to the lowest polymorph listed for this composition = 88 meV/atom
# ρ = 8.3 Mg/m³
# E = -4.707 eV per atom
data_Dy6HgRu
_space_group_name_H-M_alt 'P 1'
_space_group_IT_number 1
_cell_length_a 6.811
_cell_length_b 6.824
_cell_length_c 7.471
_cell_angle_alpha 62.98
_cell_angle_beta 63.04
_cell_angle_gamma 60.06
loop_
_space_group_symop_operation_xyz
'x,y,z'
loop_
_atom_site_label
_atom_site_type_symbol
_atom_site_fract_x
_atom_site_fract_y
_atom_site_fract_z
_atom_site_occupancy
Ru1 Ru 0.000 0.000 0.000 1
Dy1 Dy 0.954 0.583 0.243 1
Dy2 Dy 0.779 0.046 0.757 1
Hg1 Hg 0.500 0.500 0.500 1
Dy3 Dy 0.221 0.954 0.243 1
Dy4 Dy 0.583 0.220 0.243 1
Dy5 Dy 0.417 0.780 0.757 1
Dy6 Dy 0.046 0.417 0.757 1

Record 4
# ScAu2Cl, optimized geometry, DFT PBE
# density of states at the Fermi level = 0.2 states/eV per cell
# space group = Pm, No. 6
# ΔE_f (raw) = -0.831 eV per atom
# spin magnetization = 0.00 μB/cell
# energy relative to the lowest polymorph listed for this composition = 0 meV/atom
# ρ = 8.2 Mg/m³
# E = -4.515 eV per atom
data_ScAu2Cl
_space_group_name_H-M_alt 'P 1'
_space_group_IT_number 1
_cell_length_a 3.352
_cell_length_b 3.712
_cell_length_c 7.901
_cell_angle_alpha 79.02
_cell_angle_beta 90.00
_cell_angle_gamma 90.00
loop_
_space_group_symop_operation_xyz
'x,y,z'
loop_
_atom_site_label
_atom_site_type_symbol
_atom_site_fract_x
_atom_site_fract_y
_atom_site_fract_z
_atom_site_occupancy
Au1 Au 0.500 0.383 0.164 1
Sc1 Sc 0.500 0.530 0.800 1
Cl1 Cl 0.000 0.628 0.560 1
Au2 Au 0.000 0.959 0.976 1